[1]
Density functional theory data (PBE) for a relaxed ErTl3 crystal.

The structure in POSCAR format:
```
ErTl3
1.0
4.7047 0.0000 0.0000
0.0000 4.7047 0.0000
0.0000 0.0000 4.7047
Er Tl
1 3
Direct
0.0000 0.0000 0.0000
0.5000 0.5000 0.0000
0.5000 0.0000 0.5000
0.0000 0.5000 0.5000
```

Properties
Crystal system: cubic



[2]
Density functional theory data (PBE) for a relaxed ErTl crystal.

The structure in POSCAR format:
```
ErTl
1.0
-4.5259 -0.4925 -1.6305
-3.6536 2.1591 2.3183
-2.2627 3.7626 -2.0267
Er Tl
1 1
Direct
0.0000 0.0000 0.0000
0.2500 0.2500 0.2500
```

Properties
Crystal system: cubic



[3]
Density functional theory data (PBE) for a relaxed ErTl crystal.

The structure in POSCAR format:
```
ErTl
1.0
-2.0192 1.9291 -2.3001
-1.4815 -1.3545 3.0099
1.1801 4.1598 2.4529
Er Tl
1 1
Direct
0.6667 0.3333 0.7500
0.3333 0.6667 0.2500
```

Properties
Crystal system: hexagonal



[4]
Density functional theory data (PBE) for a relaxed ErTl crystal.

The structure in POSCAR format:
```
ErTl
1.0
4.2265 -0.9016 -0.6884
2.1419 -2.6650 2.7313
1.1970 -3.9936 -1.3296
Er Tl
1 1
Direct
0.0000 0.0000 0.0000
0.5000 0.5000 0.5000
```

Properties
Crystal system: cubic



[5]
Density functional theory data (PBE) for a relaxed ErTl crystal.

The structure in POSCAR format:
```
ErTl
1.0
-3.3132 -1.7015 -0.3747
1.6816 -3.3336 0.2688
-0.4558 0.0696 3.7149
Er Tl
1 1
Direct
0.0000 0.0000 0.0000
0.5000 0.5000 0.5000
```

Properties
Crystal system: cubic



[6]
Density functional theory data (PBE) for a relaxed ErTl crystal.

The structure in POSCAR format:
```
ErTl
1.0
3.5163 0.0000 0.0000
0.0000 3.5163 0.0000
0.0000 0.0000 4.2088
Er Tl
1 1
Direct
0.0000 0.0000 0.0000
0.5000 0.5000 0.5000
```

Properties
Crystal system: tetragonal



[7]
Density functional theory data (PBE) for a relaxed ErUTl crystal.

The structure in POSCAR format:
```
ErUTl
1.0
-3.3009 -3.9925 -0.1126
-4.8087 0.6644 -1.8121
-1.3731 -2.0992 -4.5339
Er Tl U
1 1 1
Direct
0.2500 0.2500 0.2500
0.0000 0.0000 0.0000
0.7500 0.7500 0.7500
```

Properties
Crystal system: cubic
Excess energy over the best structure of this formula in the dataset in meV per atom: 0



[8]
Density functional theory data (PBE) for a relaxed ErTlZn crystal.

The structure in POSCAR format:
```
ErTlZn
1.0
0.0000 3.4692 3.4692
3.4692 0.0000 3.4692
3.4692 3.4692 0.0000
Er Tl Zn
1 1 1
Direct
0.0000 0.0000 0.0000
0.2500 0.2500 0.2500
0.7500 0.7500 0.7500
```

Properties
Crystal system: cubic



no.,total DFT energy (no corrections) (eV/cell)
1,-12.36
2,-5.60
3,-7.29
4,-6.97
5,-7.54
6,-7.54
7,-16.10
8,-7.74